PBE ZrCrCI2, optimized geometry; DFT total energy = -24.98 eV for the cell shown; density of states at the Fermi level = 1.212 states/eV per atom
1.0
-1.6675 4.4136 1.9413
-3.5339 -1.2495 -0.1946
0.4174 -1.9143 4.7107
I Cr C Zr
2 1 1 1
direct
0.0000 0.0000 0.5000
0.5000 0.0000 0.0000
0.0000 0.5000 0.0000
0.0000 0.0000 0.0000
0.5000 0.5000 0.5000


PBE Ba8PdPb2, optimized geometry; formation energy = -344 meV per atom; density of states at the Fermi level = 0.716 states/eV per atom
1.0
5.9681 0.0000 0.0000
0.0000 8.0069 0.2112
-2.9840 -3.1731 10.3787
Ba Pd Pb
8 1 2
direct
0.4082 0.5832 0.8164
0.6508 0.9516 0.3017
0.7881 0.7043 0.5762
0.9702 0.2005 0.9404
0.2119 0.2957 0.4238
0.3492 0.0484 0.6983
0.5918 0.4168 0.1836
0.0298 0.7995 0.0596
0.5000 0.0000 0.0000
0.8113 0.2771 0.6227
0.1887 0.7229 0.3773


PBE Rb2CdHI, optimized geometry; DFT total energy = -9.26 eV for the cell shown; density of states at the Fermi level = 0.262 states/eV per atom
1.0
-1.6248 -5.6779 -3.6038
4.0157 -1.2189 0.1100
-1.1951 -3.4046 5.9030
I H Rb Cd
1 1 2 1
direct
0.5000 0.5000 0.5000
0.0000 0.5000 0.0000
0.0000 0.0000 0.5000
0.5000 0.0000 0.0000
0.0000 0.0000 0.0000


PBE Ca2Sm2Pd3, optimized geometry; formation energy = -574 meV per atom; density of states at the Fermi level = 0.643 states/eV per atom; ΔE to the lowest computed polymorph = 86 meV per atom
1.0
4.1100 -0.0072 -0.0090
-2.0529 6.9288 0.0990
-0.0199 -0.9475 6.9992
Ca Sm Pd
2 2 3
direct
0.8781 0.7605 0.6301
0.1219 0.2395 0.3699
0.6343 0.2708 0.9018
0.3657 0.7292 0.0982
0.0000 0.0000 0.0000
0.7569 0.5093 0.2692
0.2431 0.4907 0.7308


PBE NbPNF2, optimized geometry; density of states at the Fermi level = 0.596 states/eV per atom; ΔE to the lowest computed polymorph = 0 meV per atom
1.0
-2.4602 2.9947 -1.4750
-3.3283 -2.3420 0.7965
-0.2561 1.6457 3.7686
P Nb N F
1 1 1 2
direct
0.5000 0.5000 0.5000
0.0000 0.0000 0.0000
0.0000 0.0000 0.5000
0.0000 0.5000 0.0000
0.5000 0.0000 0.0000


PBE Mo2IN, optimized geometry; density of states at the Fermi level = 0.851 states/eV per atom; ΔE to the lowest computed polymorph = 823 meV per atom
1.0
0.0000 3.1080 3.1080
3.1080 0.0000 3.1080
3.1080 3.1080 0.0000
I Mo N
1 2 1
direct
0.5000 0.5000 0.5000
0.2500 0.2500 0.2500
0.7500 0.7500 0.7500
0.0000 0.0000 0.0000


PBE Rb2PuPaSe4, optimized geometry; DFT total energy = -50.91 eV for the cell shown; density of states at the Fermi level = 1.870 states/eV per atom
1.0
-1.0312 -3.7635 1.7284
6.0458 0.3172 4.2979
-6.2344 3.6741 4.2805
Rb Pu Pa Se
2 1 1 4
direct
0.5000 0.0000 0.5000
0.0000 0.5000 0.5000
0.0000 0.0000 0.0000
0.5000 0.5000 0.0000
0.5000 0.2412 0.1977
0.5000 0.7588 0.8023
0.0000 0.2733 0.8016
0.0000 0.7267 0.1984


PBE Al2CrSe, optimized geometry; density of states at the Fermi level = 0.738 states/eV per atom; ΔE to the lowest computed polymorph = 0 meV per atom
1.0
-0.9270 -3.7548 -9.5221
0.6306 -5.9529 -8.3542
-2.2929 -5.9192 -8.0829
Cr Al Se
1 2 1
direct
0.5023 0.5023 0.5023
0.9796 0.9796 0.9796
0.2364 0.2364 0.2364
0.7817 0.7817 0.7817


PBE SiAgClF6, optimized geometry; DFT total energy = -39.42 eV for the cell shown; density of states at the Fermi level = 0.000 states/eV per atom
1.0
-3.7027 4.4117 -1.7506
-0.9941 1.5520 -5.8430
-3.6902 -3.4652 1.4437
Si Ag Cl F
1 1 1 6
direct
0.3932 0.2665 0.4192
0.5643 0.7296 0.7470
0.0619 0.9772 0.9864
0.1187 0.3085 0.2399
0.2971 0.1803 0.6301
0.6142 0.2895 0.6394
0.9962 0.7404 0.7875
0.3410 0.5315 0.3427
0.6133 0.9763 0.2077


PBE ErNbGa, optimized geometry; formation energy = -407 meV per atom; density of states at the Fermi level = 0.732 states/eV per atom; ΔE to the lowest computed polymorph = 7 meV per atom
1.0
-0.1076 1.9441 -3.4914
1.6003 -3.1794 -1.8197
-8.0883 -2.2830 1.2666
Er Nb Ga
2 2 2
direct
0.6749 0.6749 0.3499
0.3251 0.3251 0.6501
0.5000 0.0000 0.0000
0.0000 0.5000 0.0000
0.1259 0.1259 0.2517
0.8741 0.8741 0.7483


PBE PaZnIr2, optimized geometry; formation energy = -459 meV per atom; density of states at the Fermi level = 1.153 states/eV per atom
1.0
3.1180 0.0000 0.0000
0.0000 3.1180 0.0000
0.0000 0.0000 7.0302
Zn Pa Ir
1 1 2
direct
0.5000 0.5000 0.0000
0.5000 0.5000 0.5000
0.0000 0.0000 0.7825
0.0000 0.0000 0.2175


PBE LaTa2Cu, optimized geometry; formation energy = 459 meV per atom; density of states at the Fermi level = 1.172 states/eV per atom; ΔE to the lowest computed polymorph = 206 meV per atom
1.0
-0.7158 -1.0012 -3.0601
-1.6707 -2.5642 1.2298
-6.3026 4.1605 0.1131
Cu La Ta
1 1 2
direct
0.5000 0.5000 0.2500
0.5000 0.5000 0.7500
0.0000 0.0000 0.0715
0.0000 0.0000 0.4285


Q: The highest density of states at the Fermi level belongs to which entry?
A: Rb2PuPaSe4